Computed, not measured: a relaxed structure of Sn2BPtPb at the GGA-PBE level of DFT.

Unit cell a=5.1378 b=5.5878 c=5.1378 alpha=90.00 beta=90.00 gamma=90.00
Element x y z (fractional)
Pb 0.0000 0.5000 0.0000
B 0.5000 0.5000 0.5000
Sn 0.0000 0.0000 0.5000
Sn 0.5000 0.0000 0.0000
Pt 0.0000 0.0000 0.0000

- total magnetic moment (μB/f.u.) = 0.0
- volume (Å³/atom) = 29.50
- calculated formation energy (meV/atom) = 995

---

Computed, not measured: a relaxed structure of RbAlTl2Sb2 at the GGA-PBE level of DFT.

Unit cell a=4.4319 b=9.2248 c=10.2834 alpha=90.00 beta=90.00 gamma=90.00
Element x y z (fractional)
Rb 0.0000 0.0055 0.3601
Rb 0.0000 0.5055 0.6399
Al 0.5000 0.1254 0.6237
Al 0.5000 0.6254 0.3763
Tl 0.5000 0.0959 0.0037
Tl 0.0000 0.3315 0.1806
Tl 0.5000 0.5959 0.9963
Tl 0.0000 0.8315 0.8194
Sb 0.0000 0.1661 0.7794
Sb 0.5000 0.3212 0.4117
Sb 0.0000 0.6661 0.2206
Sb 0.5000 0.8212 0.5883

- total magnetic moment (μB/f.u.) = 0.0
- volume (Å³/atom) = 35.04
- E_form (uncorrected) (eV per atom) = -0.108

---

Computed, not measured: a relaxed structure of KNaCuCl3 at the GGA-PBE level of DFT.

Unit cell a=4.0492 b=7.1196 c=10.7736 alpha=90.00 beta=90.00 gamma=106.52
Element x y z (fractional)
K 0.7467 0.4934 0.7500
K 0.2533 0.5066 0.2500
Na 0.0000 0.0000 0.5000
Na 0.0000 0.0000 0.0000
Cu 0.4648 0.9296 0.7500
Cu 0.5352 0.0704 0.2500
Cl 0.6315 0.2629 0.4264
Cl 0.3685 0.7371 0.5736
Cl 0.3685 0.7371 0.9264
Cl 0.6315 0.2629 0.0736
Cl 0.0626 0.1252 0.7500
Cl 0.9374 0.8748 0.2500

- total magnetic moment (μB/f.u.) = 0.1
- volume (Å³/atom) = 24.81
- E_form (uncorrected) (eV per atom) = -1.383

---

Computed, not measured: a relaxed structure of Na5TiS5 at the GGA-PBE level of DFT.

Unit cell a=5.3259 b=7.0163 c=7.7302 alpha=106.96 beta=90.00 gamma=112.30
Element x y z (fractional)
Na 0.6976 0.3952 0.3209
Na 0.6803 0.3607 0.8593
Na 0.0000 0.0000 0.5000
Na 0.3197 0.6393 0.1407
Na 0.3024 0.6048 0.6791
Ti 0.0000 0.0000 0.0000
S 0.8665 0.7330 0.1576
S 0.8553 0.7107 0.7037
S 0.5000 0.0000 0.0000
S 0.1447 0.2893 0.2963
S 0.1335 0.2670 0.8424

- total magnetic moment (μB/f.u.) = 1.0
- volume (Å³/atom) = 23.06
- E_form (uncorrected) (eV per atom) = -0.990

---

Computed, not measured: a relaxed structure of AcSm4Cu5 at the GGA-PBE level of DFT.

Unit cell a=3.5898 b=3.5898 c=18.0623 alpha=90.00 beta=90.00 gamma=90.00
Element x y z (fractional)
Ac 0.0000 0.0000 0.0000
Sm 0.0000 0.0000 0.2069
Sm 0.0000 0.0000 0.4023
Sm 0.0000 0.0000 0.5977
Sm 0.0000 0.0000 0.7931
Cu 0.5000 0.5000 0.1152
Cu 0.5000 0.5000 0.3038
Cu 0.5000 0.5000 0.5000
Cu 0.5000 0.5000 0.6962
Cu 0.5000 0.5000 0.8848

- total magnetic moment (μB/f.u.) = 0.0
- volume (Å³/atom) = 23.28
- calculated formation energy (meV/atom) = -153

---

Computed, not measured: a relaxed structure of Te2RhBr at the GGA-PBE level of DFT.

Unit cell a=5.4931 b=4.2238 c=4.2238 alpha=90.00 beta=90.00 gamma=90.00
Element x y z (fractional)
Te 0.0000 0.0000 0.0000
Te 0.0000 0.5000 0.5000
Rh 0.5000 0.0000 0.5000
Br 0.5000 0.5000 0.0000

- total magnetic moment (μB/f.u.) = 0.0
- volume (Å³/atom) = 24.50
- E_form (uncorrected) (eV per atom) = 0.622

---

Computed, not measured: a relaxed structure of La5ErCd4 at the GGA-PBE level of DFT.

Unit cell a=3.8959 b=3.8959 c=20.6377 alpha=90.00 beta=90.00 gamma=90.00
Element x y z (fractional)
La 0.5000 0.5000 0.1138
La 0.5000 0.5000 0.3070
La 0.5000 0.5000 0.5000
La 0.5000 0.5000 0.6930
La 0.5000 0.5000 0.8862
Er 0.0000 0.0000 0.0000
Cd 0.0000 0.0000 0.2082
Cd 0.0000 0.0000 0.4038
Cd 0.0000 0.0000 0.5962
Cd 0.0000 0.0000 0.7918

- total magnetic moment (μB/f.u.) = 1.0
- volume (Å³/atom) = 31.32
- calculated formation energy (meV/atom) = -245

---

Computed, not measured: a relaxed structure of KSi2Cl at the GGA-PBE level of DFT.

Unit cell a=8.0162 b=8.0162 c=2.8037 alpha=90.00 beta=90.00 gamma=141.89
Element x y z (fractional)
Cl 0.5000 0.0000 0.5000
K 0.0000 0.5000 0.5000
Si 0.0000 0.0000 0.0000
Si 0.5000 0.5000 0.0000

- total magnetic moment (μB/f.u.) = 0.0
- volume (Å³/atom) = 27.80
- E_form (uncorrected) (eV per atom) = 0.232

---

Computed, not measured: a relaxed structure of Pr3YMg at the GGA-PBE level of DFT.

Unit cell a=3.9090 b=10.0796 c=9.1431 alpha=90.00 beta=90.00 gamma=101.23
Element x y z (fractional)
Pr 0.9042 0.3116 0.9954
Pr 0.0958 0.6884 0.0046
Pr 0.9042 0.3116 0.5046
Pr 0.0958 0.6884 0.4954
Pr 0.6931 0.8916 0.7500
Pr 0.3069 0.1084 0.2500
Y 0.5061 0.5121 0.7500
Y 0.4939 0.4879 0.2500
Mg 0.3258 0.1588 0.7500
Mg 0.6742 0.8412 0.2500

- total magnetic moment (μB/f.u.) = 0.0
- volume (Å³/atom) = 35.33
- calculated formation energy (meV/atom) = 164

---

Computed, not measured: a relaxed structure of CsCrHgTe2 at the GGA-PBE level of DFT.

Unit cell a=9.7420 b=6.6201 c=7.6059 alpha=115.80 beta=90.00 gamma=90.00
Element x y z (fractional)
Cs 0.2930 0.7500 0.5000
Cs 0.7070 0.2500 0.5000
Cr 0.5000 0.7500 0.0000
Cr 0.5000 0.2500 0.0000
Hg 0.0000 0.0000 0.0000
Hg 0.0000 0.5000 0.0000
Te 0.6546 0.9012 0.8024
Te 0.6546 0.5988 0.1976
Te 0.3454 0.4012 0.8024
Te 0.3454 0.0988 0.1976

- total magnetic moment (μB/f.u.) = 3.0
- volume (Å³/atom) = 44.16
- E_form (uncorrected) (eV per atom) = -0.362

---

Computed, not measured: a relaxed structure of SmMnSi2Ru at the GGA-PBE level of DFT.

Unit cell a=4.0303 b=4.0303 c=5.9028 alpha=109.96 beta=109.96 gamma=90.00
Element x y z (fractional)
Sm 0.0000 0.0000 0.0000
Mn 0.7500 0.2500 0.5000
Si 0.6220 0.6220 0.2441
Si 0.3780 0.3780 0.7559
Ru 0.2500 0.7500 0.5000

- total magnetic moment (μB/f.u.) = 2.7
- volume (Å³/atom) = 16.79
- E_form (uncorrected) (eV per atom) = -0.754

---

Computed, not measured: a relaxed structure of PuGeSe2O at the GGA-PBE level of DFT.

Unit cell a=3.8831 b=3.8831 c=13.3417 alpha=90.00 beta=90.00 gamma=90.00
Element x y z (fractional)
Pu 0.5000 0.0000 0.5937
Pu 0.0000 0.5000 0.4063
Ge 0.5000 0.0000 0.1010
Ge 0.0000 0.5000 0.8990
Se 0.0000 0.5000 0.6984
Se 0.0000 0.5000 0.1104
Se 0.5000 0.0000 0.8896
Se 0.5000 0.0000 0.3016
O 0.0000 0.0000 0.5000
O 0.5000 0.5000 0.5000

- total magnetic moment (μB/f.u.) = 4.3
- volume (Å³/atom) = 20.12
- E_form (uncorrected) (eV per atom) = -1.433

---

Computed, not measured: a relaxed structure of RbVN2 at the GGA-PBE level of DFT.

Unit cell a=4.2702 b=4.2702 c=4.2702 alpha=60.00 beta=60.00 gamma=60.00
Element x y z (fractional)
V 0.0000 0.0000 0.0000
Rb 0.5000 0.5000 0.5000
N 0.2500 0.2500 0.2500
N 0.7500 0.7500 0.7500

- total magnetic moment (μB/f.u.) = 0.0
- volume (Å³/atom) = 13.76
- E_form (uncorrected) (eV per atom) = 1.660

---

Computed, not measured: a relaxed structure of BeInAs4 at the GGA-PBE level of DFT.

Unit cell a=5.6264 b=5.6264 c=5.6264 alpha=60.00 beta=60.00 gamma=60.00
Element x y z (fractional)
Be 0.7500 0.7500 0.7500
In 0.0000 0.0000 0.0000
As 0.8714 0.3762 0.3762
As 0.3762 0.3762 0.8714
As 0.3762 0.8714 0.3762
As 0.3762 0.3762 0.3762

- total magnetic moment (μB/f.u.) = 0.0
- volume (Å³/atom) = 20.99
- calculated formation energy (meV/atom) = 601

---

Computed, not measured: a relaxed structure of CsHfB at the GGA-PBE level of DFT.

Unit cell a=8.6199 b=3.8890 c=12.3940 alpha=90.00 beta=90.00 gamma=90.00
Element x y z (fractional)
Cs 0.9656 0.2500 0.8051
Cs 0.5344 0.7500 0.3051
Cs 0.0344 0.7500 0.1949
Cs 0.4656 0.2500 0.6949
B 0.8891 0.2500 0.4156
B 0.6109 0.7500 0.9156
B 0.1109 0.7500 0.5844
B 0.3891 0.2500 0.0844
Hf 0.1301 0.2500 0.4865
Hf 0.3699 0.7500 0.9865
Hf 0.8699 0.7500 0.5135
Hf 0.6301 0.2500 0.0135

- total magnetic moment (μB/f.u.) = 0.0
- volume (Å³/atom) = 34.62
- calculated formation energy (meV/atom) = 738

---

Computed, not measured: a relaxed structure of Sr2HfCoAu at the GGA-PBE level of DFT.

Unit cell a=6.3308 b=4.3271 c=6.3308 alpha=90.00 beta=90.00 gamma=90.00
Element x y z (fractional)
Hf 0.0000 0.0000 0.0000
Co 0.0000 0.5000 0.0000
Au 0.5000 0.5000 0.5000
Sr 0.0000 0.0000 0.5000
Sr 0.5000 0.0000 0.0000

- total magnetic moment (μB/f.u.) = 0.0
- volume (Å³/atom) = 34.69
- calculated formation energy (meV/atom) = 752

---

Computed, not measured: a relaxed structure of Tb2Sm7Er at the GGA-PBE level of DFT.

Unit cell a=3.5193 b=10.2614 c=10.2614 alpha=108.64 beta=90.00 gamma=90.00
Element x y z (fractional)
Tb 0.5000 0.8319 0.1681
Tb 0.5000 0.1681 0.8319
Sm 0.0000 0.6765 0.3234
Sm 0.0000 0.3235 0.6766
Sm 0.5000 0.1271 0.3831
Sm 0.5000 0.8729 0.6169
Sm 0.5000 0.3831 0.1271
Sm 0.5000 0.6169 0.8729
Sm 0.5000 0.5000 0.5000
Er 0.0000 0.0000 0.0000

- total magnetic moment (μB/f.u.) = 0.0
- volume (Å³/atom) = 35.11
- calculated formation energy (meV/atom) = 400

---

Computed, not measured: a relaxed structure of RbNi2Sb2 at the GGA-PBE level of DFT.

Unit cell a=4.7298 b=4.7298 c=6.9762 alpha=70.18 beta=70.18 gamma=90.00
Element x y z (fractional)
Sb 0.7500 0.2500 0.5000
Sb 0.2500 0.7500 0.5000
Rb 0.0000 0.0000 0.0000
Ni 0.3286 0.3286 0.3427
Ni 0.6714 0.6714 0.6573

- total magnetic moment (μB/f.u.) = 0.0
- volume (Å³/atom) = 27.39
- E_form (uncorrected) (eV per atom) = -0.037

---

Computed, not measured: a relaxed structure of YCo3Pd at the GGA-PBE level of DFT.

Unit cell a=4.5647 b=4.5647 c=4.5647 alpha=90.00 beta=90.00 gamma=90.00
Element x y z (fractional)
Y 0.0000 0.0000 0.0000
Co 0.0000 0.5000 0.0000
Co 0.0000 0.0000 0.5000
Co 0.5000 0.0000 0.0000
Pd 0.5000 0.5000 0.5000

- total magnetic moment (μB/f.u.) = 3.7
- volume (Å³/atom) = 19.02
- calculated formation energy (meV/atom) = 1687

---

Computed, not measured: a relaxed structure of BaGa2Sn8 at the GGA-PBE level of DFT.

Unit cell a=6.8185 b=6.8185 c=8.3940 alpha=90.00 beta=90.00 gamma=90.00
Element x y z (fractional)
Ba 0.5000 0.5000 0.5000
Ga 0.5000 0.0000 0.0000
Ga 0.0000 0.5000 0.0000
Sn 0.7603 0.7603 0.1891
Sn 0.7603 0.2397 0.8109
Sn 0.7603 0.7603 0.8109
Sn 0.7603 0.2397 0.1891
Sn 0.2397 0.7603 0.1891
Sn 0.2397 0.7603 0.8109
Sn 0.2397 0.2397 0.1891
Sn 0.2397 0.2397 0.8109

- total magnetic moment (μB/f.u.) = 0.0
- volume (Å³/atom) = 35.48
- calculated formation energy (meV/atom) = 40

---

Computed, not measured: a relaxed structure of Y8Tm2Pu at the GGA-PBE level of DFT.

Unit cell a=6.9686 b=10.7448 c=6.5201 alpha=65.04 beta=57.70 gamma=90.00
Element x y z (fractional)
Y 0.7343 0.7277 0.0338
Y 0.7681 0.2723 0.9662
Y 0.6795 0.6241 0.6410
Y 0.3205 0.3759 0.3590
Y 0.2319 0.7277 0.0338
Y 0.2657 0.2723 0.9662
Y 0.6860 0.0556 0.6280
Y 0.3140 0.9444 0.3720
Tm 0.8281 0.4141 0.3438
Tm 0.1719 0.5859 0.6562
Pu 0.0000 0.0000 0.0000

- total magnetic moment (μB/f.u.) = 7.8
- volume (Å³/atom) = 32.50
- calculated formation energy (meV/atom) = 156

---

Computed, not measured: a relaxed structure of Sm2ThMg3 at the GGA-PBE level of DFT.

Unit cell a=3.8445 b=3.8445 c=11.5387 alpha=90.00 beta=90.00 gamma=90.00
Element x y z (fractional)
Sm 0.5000 0.5000 0.8321
Sm 0.5000 0.5000 0.1679
Th 0.5000 0.5000 0.5000
Mg 0.0000 0.0000 0.0000
Mg 0.0000 0.0000 0.6697
Mg 0.0000 0.0000 0.3303

- total magnetic moment (μB/f.u.) = 0.0
- volume (Å³/atom) = 28.42
- calculated formation energy (meV/atom) = -36

---

Computed, not measured: a relaxed structure of BeSiPt at the GGA-PBE level of DFT.

Unit cell a=2.8500 b=2.8500 c=5.5560 alpha=90.00 beta=90.00 gamma=120.00
Element x y z (fractional)
Be 0.0000 0.0000 0.0011
Si 0.6667 0.3333 0.6777
Pt 0.3333 0.6667 0.3213

- total magnetic moment (μB/f.u.) = 0.0
- volume (Å³/atom) = 13.03
- E_form (uncorrected) (eV per atom) = -0.179

---

Computed, not measured: a relaxed structure of LiTb2Pt4 at the GGA-PBE level of DFT.

Unit cell a=6.0580 b=6.0580 c=5.8457 alpha=121.22 beta=121.22 gamma=89.99
Element x y z (fractional)
Li 0.9999 0.9999 0.9999
Tb 0.7500 0.2500 0.5000
Tb 0.2500 0.7500 0.5000
Pt 0.7229 0.2772 0.0001
Pt 0.2772 0.7228 0.0000
Pt 0.2773 0.2773 0.0000
Pt 0.7228 0.7228 0.0000

- total magnetic moment (μB/f.u.) = 0.0
- volume (Å³/atom) = 20.85
- calculated formation energy (meV/atom) = -807

---

Computed, not measured: a relaxed structure of TiPdC2I at the GGA-PBE level of DFT.

Unit cell a=4.2160 b=4.9375 c=4.2160 alpha=90.00 beta=90.00 gamma=90.00
Element x y z (fractional)
I 0.0000 0.0000 0.0000
C 0.0000 0.0000 0.5000
C 0.5000 0.0000 0.0000
Pd 0.0000 0.5000 0.0000
Ti 0.5000 0.5000 0.5000

- total magnetic moment (μB/f.u.) = 0.0
- volume (Å³/atom) = 17.55
- E_form (uncorrected) (eV per atom) = 2.560